# V2CrBrF

A relaxed V2CrBrF crystal (GGA+U, Alexandria).

The structure belongs to space group P4/mmm (No. 123); the cell edges are 5.316, 5.316 and 3.909 Å and the angles 90.00°, 90.00° and 90.00°. The asymmetric unit holds V at (0.000, 0.500, 0.000), Cr at (0.000, 0.000, 0.000), Br at (0.500, 0.500, 0.500) and F at (0.000, 0.000, 0.500).

The calculation puts the total magnetization at 7.985 μB/cell. The total DFT energy (no corrections) is -22.560 eV per cell.